{
  "formula": "BaMn3C4O12",
  "functional": "PBE with a Hubbard U",
  "state": "relaxed",
  "dft_energy_ev_per_cell": -155.43,
  "spacegroup": "R32 (155)",
  "cell": [[6.431, 0.113, 0.158], [-1.439, 6.269, 0.158], [-1.439, -1.841, 5.995]],
  "species": ["O", "O", "O", "O", "O", "O", "O", "O", "O", "O", "O", "O", "Mn", "Mn", "Mn", "Ba", "C", "C", "C", "C"],
  "fractional_positions": [[0.913, 0.500, 0.087], [0.500, 0.087, 0.913], [0.802, 0.017, 0.601], [0.369, 0.631, 0.500], [0.198, 0.399, 0.983], [0.087, 0.913, 0.500], [0.017, 0.601, 0.802], [0.631, 0.500, 0.369], [0.983, 0.198, 0.399], [0.399, 0.983, 0.198], [0.601, 0.802, 0.017], [0.500, 0.369, 0.631], [0.000, 0.542, 0.458], [0.458, 0.000, 0.542], [0.542, 0.458, 0.000], [0.000, 0.000, 0.000], [0.955, 0.045, 0.500], [0.500, 0.500, 0.500], [0.500, 0.955, 0.045], [0.045, 0.500, 0.955]]
}